Record 1
PaBe17Mo after structural relaxation. Source: Alexandria, functional PBE.

extended XYZ file:
```
19
Lattice="3.7688 2.1759 3.6573 -3.7688 2.1759 3.6573 0.0000 -4.3519 3.6573" Properties=species:S:1:pos:R:3 pbc="T T T"
Pa 0.0000 0.0000 0.0000
Be -1.1147 -1.8564 3.7506
Be -2.1650 -0.0371 3.7506
Be -1.8543 -1.0706 5.6661
Be 0.0000 0.0000 2.7344
Be 0.0000 -2.1838 5.5804
Be -1.8912 1.0919 5.5804
Be 1.1147 -1.8564 3.7506
Be -1.0504 1.8935 3.7506
Be 0.0000 0.0000 4.8681
Be -1.8608 -1.0743 9.1111
Be 2.1650 -0.0371 3.7506
Be 1.0504 1.8935 3.7506
Be 1.8543 -1.0706 5.6661
Be 0.0000 2.1411 5.6661
Be 1.8912 1.0919 5.5804
Be 1.8608 -1.0743 9.1111
Be 0.0000 2.1487 9.1111
Mo 0.0000 0.0000 7.4622
```

The energy relative to the elements comes out at -0.059 eV per atom. For the total energy, the calculation gives -84.8 eV per cell.


Record 2
NbBr2O after structural relaxation. Source: Alexandria, functional PBE.

extended XYZ file:
```
8
Lattice="-4.9768 4.9768 1.9535 4.9768 -4.9768 1.9535 4.9768 4.9768 -1.9535" Properties=species:S:1:pos:R:3 pbc="T T T"
Nb 0.0000 0.0000 0.0000
Nb 0.0000 4.9768 0.9768
Br 0.9215 2.4884 0.4884
Br -2.4884 4.0553 1.4651
Br -0.9215 7.4652 0.4884
Br 2.4884 5.8983 1.4651
O 4.9768 0.0000 0.9768
O 0.0000 0.0000 1.9535
```

The calculation puts the formation energy without anion corrections at -1.245 eV/atom. For the total energy, the calculation gives -46.7 eV per cell.


| no. | mass density (g/cm³) |
| --- | --- |
| 1 | 4.43 |
| 2 | 4.61 |